1.
CsMgSb (PBE, relaxed); space-group type = P1; Fermi-level density of states = 0.000 states/eV per atom; uncorrected formation energy = -0.27 eV per atom; calculated volume = 352.2 Å³ per cell
1.0
6.806 0.000 0.000
-3.379 8.527 0.000
2.214 -0.003 6.069
Cs Mg Sb
2 2 2
Cartesian
-1.557 6.156 2.219 Cs
2.958 3.065 5.268 Cs
5.413 0.407 1.705 Mg
6.545 0.312 4.733 Mg
6.287 2.494 3.166 Sb
1.777 6.748 0.142 Sb

2.
CsHo2P2N6 (PBE, relaxed); space-group type = C2/m; Fermi-level density of states = 0.476 states/eV per atom; uncorrected formation energy = -0.74 eV per atom; calculated volume = 195.7 Å³ per cell
1.0
-1.914 2.689 -5.288
-3.975 -3.333 -3.930
-2.679 4.671 3.345
N Ho P Cs
6 2 2 1
Cartesian
-1.990 -0.512 -1.090 N
-3.294 3.812 -4.218 N
-3.097 1.042 -4.147 N
-6.578 4.538 -4.784 N
-5.275 0.214 -1.656 N
-5.471 2.984 -1.726 N
-3.435 -0.741 -2.807 Ho
-5.133 4.767 -3.066 Ho
-3.452 2.398 -4.879 P
-5.117 1.628 -0.994 P
-2.297 3.680 -0.972 Cs

3.
Rb2NaCrSe4 (PBE, relaxed); space-group type = Fddd; Fermi-level density of states = 0.518 states/eV per atom; uncorrected formation energy = -0.79 eV per atom; calculated volume = 552.6 Å³ per cell
1.0
6.552 0.000 0.000
3.276 6.816 0.000
3.276 0.000 12.374
Cr Na Se Rb
2 2 8 4
Cartesian
3.276 0.000 0.000 Cr
4.914 3.408 6.187 Cr
0.000 0.000 0.000 Na
8.190 3.408 6.187 Na
5.296 5.464 1.350 Se
4.532 1.352 1.350 Se
11.084 5.464 11.025 Se
3.658 2.056 4.838 Se
5.296 1.352 11.025 Se
10.210 4.760 7.537 Se
6.170 2.056 7.537 Se
6.170 4.760 4.838 Se
6.552 0.000 4.488 Rb
8.190 3.408 1.699 Rb
3.276 0.000 7.886 Rb
8.190 3.408 10.675 Rb

4.
DyTmNpO6 (PBE, relaxed); space-group type = P-31c; uncorrected formation energy = -3.23 eV per atom; calculated volume = 264.0 Å³ per cell
1.0
-3.801 2.695 3.244
-1.581 -4.498 -3.084
2.127 -5.706 7.232
Tm O Np Dy
2 12 2 2
Cartesian
-1.789 -3.527 0.833 Tm
-1.466 -3.982 6.559 Tm
0.007 -5.638 6.251 O
-1.102 -2.634 2.767 O
0.710 -7.877 4.277 O
-1.099 0.099 2.059 O
-3.966 0.368 3.115 O
-1.471 -7.121 2.652 O
0.707 -5.162 3.558 O
-2.153 -4.874 4.625 O
-2.156 -7.608 5.333 O
-3.263 -1.871 1.141 O
-1.784 -0.388 4.740 O
-3.963 -2.347 3.835 O
-0.726 -6.380 4.449 Np
-2.530 -1.129 2.943 Np
1.063 -2.853 3.616 Dy
0.000 0.000 0.000 Dy

5.
SnSe2I (PBE, relaxed); space-group type = R-3m; Fermi-level density of states = 0.574 states/eV per atom; uncorrected formation energy = -0.16 eV per atom; calculated volume = 135.1 Å³ per cell; E above lowest polymorph = 0.000 eV per atom
1.0
-3.519 3.846 7.249
-1.770 0.259 8.748
0.656 3.703 8.098
Se Sn I
2 1 1
Cartesian
-0.497 0.837 2.584 Se
-4.137 6.971 21.511 Se
-2.317 3.904 12.048 Sn
0.000 0.000 0.000 I

6.
Hf2CuPb2 (PBE, relaxed); space-group type = P4/mbm; Fermi-level density of states = 0.663 states/eV per atom; calculated volume = 231.3 Å³ per cell; E above lowest polymorph = 0.000 eV per atom; E_form = 4.5 kcal/mol of atoms
1.0
7.028 0.000 0.000
0.000 7.028 0.000
0.000 0.000 4.683
Pb Hf Cu
4 4 2
Cartesian
5.895 2.381 2.341 Pb
4.647 5.895 2.341 Pb
2.381 1.133 2.341 Pb
1.133 4.647 2.341 Pb
1.105 2.409 0.000 Hf
2.409 5.923 0.000 Hf
4.619 1.105 0.000 Hf
5.923 4.619 0.000 Hf
3.514 3.514 0.000 Cu
0.000 0.000 0.000 Cu

7.
KClF6 (PBE, relaxed); space-group type = R-3m; Fermi-level density of states = 0.000 states/eV per atom; uncorrected formation energy = -1.21 eV per atom; calculated volume = 129.2 Å³ per cell
1.0
5.467 0.000 0.000
2.733 4.735 0.000
2.733 1.578 4.993
K F Cl
1 6 1
Cartesian
5.467 3.156 2.497 K
2.733 3.258 1.054 F
9.656 5.575 3.939 F
6.745 5.575 3.939 F
8.200 3.054 3.939 F
1.278 0.738 1.054 F
4.189 0.738 1.054 F
0.000 0.000 0.000 Cl

8.
HfTe2MoI (PBE, relaxed); space-group type = P4/mmm; Fermi-level density of states = 0.320 states/eV per atom; uncorrected formation energy = 0.62 eV per atom; calculated volume = 175.2 Å³ per cell; E above lowest polymorph = 0.000 eV per atom
1.0
5.582 0.000 0.000
0.000 5.582 0.000
0.000 0.000 5.624
Te Hf I Mo
2 1 1 1
Cartesian
2.791 0.000 0.000 Te
0.000 2.791 0.000 Te
0.000 0.000 0.000 Hf
0.000 0.000 2.812 I
2.791 2.791 2.812 Mo

9.
OsRu (PBE, relaxed); space-group type = P4/mmm; Fermi-level density of states = 1.141 states/eV per atom; calculated volume = 28.3 Å³ per cell; E_form = 2.8 kcal/mol of atoms
1.0
-1.137 -2.453 0.246
2.356 -1.161 -0.686
1.026 -0.104 3.696
Ru Os
1 1
Cartesian
0.513 -0.052 1.848 Ru
0.609 -1.807 -0.220 Os

10.
Pr4Ho5Tl (PBE, relaxed); space-group type = P4/mmm; Fermi-level density of states = 1.294 states/eV per atom; calculated volume = 323.7 Å³ per cell; E above lowest polymorph = 0.000 eV per atom; E_form = -1.4 kcal/mol of atoms
1.0
-0.745 -3.021 1.896
3.022 0.493 1.974
-12.673 13.224 16.094
Pr Ho Tl
4 5 1
Cartesian
-7.648 7.980 9.712 Pr
-2.375 2.478 3.016 Pr
-5.026 5.244 6.382 Pr
-10.299 10.746 13.078 Pr
-7.819 8.083 13.310 Ho
-10.466 10.845 16.672 Ho
-2.577 2.613 6.654 Ho
0.070 -0.149 3.292 Ho
-5.198 5.348 9.982 Ho
0.000 0.000 0.000 Tl

11.
Pm3ScSb2 (PBE, relaxed); space-group type = Ibam; Fermi-level density of states = 1.135 states/eV per atom; uncorrected formation energy = -0.58 eV per atom; calculated volume = 398.3 Å³ per cell; E above lowest polymorph = 0.250 eV per atom
1.0
7.132 0.000 0.000
0.000 7.978 0.000
-3.566 -3.989 7.001
Pm Sb Sc
6 4 2
Cartesian
0.000 5.984 2.893 Pm
3.566 -1.995 4.108 Pm
0.000 1.995 2.893 Pm
3.566 1.995 0.000 Pm
3.566 5.984 0.000 Pm
3.566 1.995 4.108 Pm
4.900 0.000 1.997 Sb
1.334 0.000 5.004 Sb
2.232 3.989 1.997 Sb
-1.334 3.989 5.004 Sb
0.000 3.989 0.000 Sc
0.000 0.000 0.000 Sc

12.
PmCdH6Pd4 (PBE, relaxed); space-group type = P6/mmm; Fermi-level density of states = 0.358 states/eV per atom; final energy = -4.163 eV/atom; calculated volume = 135.6 Å³ per cell
1.0
4.766 0.000 0.000
-2.383 4.127 0.000
0.000 0.000 6.892
Pd Pm H Cd
4 1 6 1
Cartesian
2.383 1.376 1.373 Pd
2.383 1.376 5.519 Pd
0.000 2.751 5.519 Pd
0.000 2.751 1.373 Pd
0.000 0.000 3.446 Pm
-1.191 2.064 4.432 H
2.383 0.000 4.432 H
-1.191 2.064 2.460 H
2.383 0.000 2.460 H
1.191 2.064 2.460 H
1.191 2.064 4.432 H
0.000 0.000 0.000 Cd